Density functional theory data (PBE-GGA) for an optimized crystal structure of V5Si2Ni12.

abc: 11.630 6.594 5.840
angles: 90.00 93.38 90.00
Space group C2/m (No. 12)
Symmetry-distinct sites (fractional):
V1 0.000 0.000 0.000 (multiplicity 2)
V2 0.214 0.500 0.504 (multiplicity 4)
V3 0.241 0.000 0.071 (multiplicity 4)
Si1 0.000 0.303 0.500 (multiplicity 4)
Ni1 0.051 0.500 0.819 (multiplicity 4)
Ni2 0.086 0.000 0.391 (multiplicity 4)
Ni3 0.129 0.304 0.170 (multiplicity 8)
Ni4 0.152 0.186 0.748 (multiplicity 8)

Computed properties:
For the raw formation energy, the calculation gives -186 meV/atom.

=====

Density functional theory data (PBE-GGA) for an optimized crystal structure of BTeSN2.

abc: 3.364 3.364 8.066
angles: 90.00 90.00 90.00
Space group P4/mmm (No. 123)
Symmetry-distinct sites (fractional):
B1 0.000 0.000 0.000 (multiplicity 1)
Te1 0.500 0.500 0.000 (multiplicity 1)
S1 0.500 0.500 0.500 (multiplicity 1)
N1 0.000 0.500 0.500 (multiplicity 2)

Computed properties:
For the raw formation energy, the calculation gives 1739 meV/atom.

=====

Density functional theory data (PBE-GGA) for an optimized crystal structure of Tb2PrZn2.

abc: 3.661 5.272 13.508
angles: 90.00 97.81 90.00
Space group P2_1/m (No. 11)
Symmetry-distinct sites (fractional):
Tb1 0.047 0.250 0.093 (multiplicity 2)
Tb2 0.232 0.250 0.466 (multiplicity 2)
Pr1 0.145 0.750 0.286 (multiplicity 2)
Zn1 0.359 0.750 0.719 (multiplicity 2)
Zn2 0.454 0.250 0.909 (multiplicity 2)

Computed properties:
For the formation energy, the calculation gives -0.25 eV/atom.

=====

Density functional theory data (PBE-GGA) for an optimized crystal structure of Zn2RhW.

abc: 2.769 4.711 9.152
angles: 90.00 90.00 90.00
Space group Immm (No. 71)
Symmetry-distinct sites (fractional):
Zn1 0.000 0.000 0.241 (multiplicity 4)
Rh1 0.000 0.500 0.500 (multiplicity 2)
W1 0.000 0.500 0.000 (multiplicity 2)

Computed properties:
For the formation energy, the calculation gives 0.09 eV/atom.

=====

Density functional theory data (PBE-GGA) for an optimized crystal structure of NiTe4Pd2.

abc: 12.923 4.152 7.016
angles: 90.00 122.88 90.00
Space group C2/m (No. 12)
Symmetry-distinct sites (fractional):
Ni1 0.000 0.000 0.000 (multiplicity 2)
Te1 0.109 0.000 0.770 (multiplicity 4)
Te2 0.126 0.500 0.281 (multiplicity 4)
Pd1 0.241 0.500 0.755 (multiplicity 4)

Computed properties:
For the raw formation energy, the calculation gives -290 meV/atom.

=====

Density functional theory data (PBE-GGA) for an optimized crystal structure of K4La3NpSe8.

abc: 8.8279 8.8279 23.0070
angles: 90.00 90.00 120.00
Space group R-3m (No. 166, hexagonal axes)
Symmetry-distinct sites (fractional):
K1 0.0000 0.0000 0.0000 (multiplicity 3)
K2 0.0000 0.5000 0.0000 (multiplicity 9)
La1 0.0000 0.5000 0.5000 (multiplicity 9)
Np1 0.0000 0.0000 0.5000 (multiplicity 3)
Se1 0.0000 0.0000 0.2376 (multiplicity 6)
Se2 0.0067 0.5034 0.2365 (multiplicity 18)

Computed properties:
For the raw formation energy, the calculation gives -1679 meV/atom.

=====

Density functional theory data (PBE-GGA) for an optimized crystal structure of SrLa2Ni.

abc: 4.1004 4.1004 30.6524
angles: 90.00 90.00 120.00
Space group R-3m (No. 166, hexagonal axes)
Symmetry-distinct sites (fractional):
Sr1 0.0000 0.0000 0.0000 (multiplicity 3)
La1 0.0000 0.0000 0.2175 (multiplicity 6)
Ni1 0.0000 0.0000 0.5000 (multiplicity 3)

Computed properties:
For the formation energy, the calculation gives -0.10 eV/atom.

=====

Density functional theory data (PBE-GGA) for an optimized crystal structure of K3RbAu.

abc: 15.292 16.424 9.087
angles: 90.00 99.80 90.00
Space group C2/c (No. 15)
Symmetry-distinct sites (fractional):
K1 0.105 0.066 0.441 (multiplicity 8)
K2 0.133 0.423 0.190 (multiplicity 8)
K3 0.145 0.172 0.044 (multiplicity 8)
Rb1 0.109 0.295 0.611 (multiplicity 8)
Au1 0.000 0.105 0.750 (multiplicity 4)
Au2 0.000 0.246 0.250 (multiplicity 4)

Computed properties:
For the formation energy, the calculation gives -0.12 eV/atom.

=====

Density functional theory data (PBE-GGA) for an optimized crystal structure of BaPRu.

abc: 7.016 7.016 7.016
angles: 90.00 90.00 90.00
Space group F-43m (No. 216)
Symmetry-distinct sites (fractional):
Ba1 0.000 0.000 0.000 (multiplicity 4)
P1 0.250 0.250 0.750 (multiplicity 4)
Ru1 0.250 0.250 0.250 (multiplicity 4)

Computed properties:
For the formation energy, the calculation gives 1.32 eV/atom.

=====

Density functional theory data (PBE-GGA) for an optimized crystal structure of ErZrSc2.

abc: 3.3238 3.3238 31.8435
angles: 90.00 90.00 120.00
Space group R3m (No. 160, hexagonal axes)
Symmetry-distinct sites (fractional):
Er1 0.0000 0.0000 0.0000 (multiplicity 3)
Zr1 0.0000 0.0000 0.8346 (multiplicity 3)
Sc1 0.0000 0.0000 0.2464 (multiplicity 3)
Sc2 0.0000 0.0000 0.4219 (multiplicity 3)

Computed properties:
For the formation energy, the calculation gives 0.04 eV/atom.

=====

Density functional theory data (PBE-GGA) for an optimized crystal structure of LiCeRuRh.

abc: 6.420 6.420 6.420
angles: 90.00 90.00 90.00
Space group F-43m (No. 216)
Symmetry-distinct sites (fractional):
Li1 0.000 0.000 0.000 (multiplicity 4)
Ce1 0.000 0.000 0.500 (multiplicity 4)
Ru1 0.250 0.250 0.250 (multiplicity 4)
Rh1 0.250 0.250 0.750 (multiplicity 4)

Computed properties:
For the formation energy, the calculation gives -0.34 eV/atom.

=====

Density functional theory data (PBE-GGA) for an optimized crystal structure of BeFeP.

abc: 3.321 4.020 5.435
angles: 69.03 83.08 66.39
Space group P-1 (No. 2)
Symmetry-distinct sites (fractional):
Be1 0.122 0.269 0.423 (multiplicity 2)
Fe1 0.415 0.756 0.246 (multiplicity 2)
P1 0.286 0.814 0.830 (multiplicity 2)

Computed properties:
For the formation energy, the calculation gives -0.31 eV/atom.

=====

Density functional theory data (PBE-GGA) for an optimized crystal structure of RbMo2Pd.

abc: 4.719 4.719 19.527
angles: 90.00 90.00 90.00
Space group I-42d (No. 122)
Symmetry-distinct sites (fractional):
Rb1 0.000 0.000 0.000 (multiplicity 4)
Mo1 0.023 0.250 0.625 (multiplicity 8)
Pd1 0.000 0.000 0.500 (multiplicity 4)

Computed properties:
For the formation energy, the calculation gives 1.51 eV/atom.

=====

Density functional theory data (PBE-GGA) for an optimized crystal structure of CaCuRe2.

abc: 2.8044 2.8044 28.7260
angles: 90.00 90.00 120.00
Space group R-3m (No. 166, hexagonal axes)
Symmetry-distinct sites (fractional):
Ca1 0.0000 0.0000 0.0000 (multiplicity 3)
Cu1 0.0000 0.0000 0.5000 (multiplicity 3)
Re1 0.0000 0.0000 0.2410 (multiplicity 6)

Computed properties:
For the formation energy, the calculation gives 0.75 eV/atom.

=====

Density functional theory data (PBE-GGA) for an optimized crystal structure of Zr2CdHPb.

abc: 4.428 4.428 4.690
angles: 90.00 90.00 90.00
Space group P4/mmm (No. 123)
Symmetry-distinct sites (fractional):
Zr1 0.000 0.500 0.000 (multiplicity 2)
Cd1 0.000 0.000 0.500 (multiplicity 1)
H1 0.000 0.000 0.000 (multiplicity 1)
Pb1 0.500 0.500 0.500 (multiplicity 1)

=====

Density functional theory data (PBE-GGA) for an optimized crystal structure of PmScAs2.

abc: 4.0437 4.0437 20.6478
angles: 90.00 90.00 120.00
Space group R3m (No. 160, hexagonal axes)
Symmetry-distinct sites (fractional):
Pm1 0.0000 0.0000 0.0000 (multiplicity 3)
Sc1 0.0000 0.0000 0.8284 (multiplicity 3)
As1 0.0000 0.0000 0.4197 (multiplicity 3)
As2 0.0000 0.0000 0.5748 (multiplicity 3)

Computed properties:
For the formation energy, the calculation gives -1.27 eV/atom.

=====

Density functional theory data (PBE-GGA) for an optimized crystal structure of SrCaSnPd.

abc: 7.611 7.611 7.611
angles: 90.00 90.00 90.00
Space group F-43m (No. 216)
Symmetry-distinct sites (fractional):
Sr1 0.000 0.000 0.000 (multiplicity 4)
Ca1 0.000 0.000 0.500 (multiplicity 4)
Sn1 0.250 0.250 0.750 (multiplicity 4)
Pd1 0.250 0.250 0.250 (multiplicity 4)

Computed properties:
For the formation energy, the calculation gives -0.54 eV/atom.

=====

Density functional theory data (PBE-GGA) for an optimized crystal structure of SrPdSeN2.

abc: 4.190 4.190 5.271
angles: 90.00 90.00 90.00
Space group P4/mmm (No. 123)
Symmetry-distinct sites (fractional):
Sr1 0.000 0.000 0.000 (multiplicity 1)
Pd1 0.500 0.500 0.500 (multiplicity 1)
Se1 0.500 0.500 0.000 (multiplicity 1)
N1 0.000 0.500 0.500 (multiplicity 2)

Computed properties:
For the raw formation energy, the calculation gives 493 meV/atom.

=====

Density functional theory data (PBE-GGA) for an optimized crystal structure of RbCoSiH2.

abc: 4.082 4.082 5.371
angles: 90.00 90.00 90.00
Space group P4/mmm (No. 123)
Symmetry-distinct sites (fractional):
Rb1 0.000 0.000 0.000 (multiplicity 1)
Co1 0.000 0.000 0.500 (multiplicity 1)
Si1 0.500 0.500 0.000 (multiplicity 1)
H1 0.000 0.500 0.500 (multiplicity 2)

=====

Density functional theory data (PBE-GGA) for an optimized crystal structure of Ta3GeW.

abc: 4.878 4.878 4.878
angles: 90.00 90.00 90.00
Space group Pm-3m (No. 221)
Symmetry-distinct sites (fractional):
Ta1 0.000 0.000 0.500 (multiplicity 3)
Ge1 0.500 0.500 0.500 (multiplicity 1)
W1 0.000 0.000 0.000 (multiplicity 1)

Computed properties:
For the formation energy, the calculation gives 1.53 eV/atom.

=====

no.,DFT total energy (eV per atom)
1,-6.808
2,-4.381
3,-3.566
4,-5.619
5,-4.395
6,-5.428
7,-4.432
8,-1.628
9,-4.217
10,-6.404
11,-6.454
12,-6.174
13,-5.446
14,-6.996
15,-5.171
16,-6.363
17,-3.761
18,-4.909
19,-2.543
20,-9.097